A geometry-optimized BaBeAl2 structure, computed with GGA-PBE.

Unit cell a=3.3987 b=3.3987 c=7.6241 alpha=90.00 beta=90.00 gamma=90.00
Atoms (fractional coordinates):
Be (0.5000, 0.5000, 0.8442)
Ba (0.0000, 0.0000, 0.5151)
Al (0.0000, 0.0000, 0.9672)
Al (0.5000, 0.5000, 0.1735)

Output
Its energy relative to the elements is 0.2165 eV/atom. As for the volume: 22.0 Å³ per atom. For the electronic total energy, the calculation gives -3.07 eV/atom.


A geometry-optimized BaBeAl2 structure, computed with GGA-PBE.

Unit cell a=9.9691 b=9.9691 c=9.9691 alpha=18.62 beta=18.62 gamma=18.62
Atoms (fractional coordinates):
Be (0.7500, 0.7500, 0.7500)
Ba (0.2500, 0.2500, 0.2500)
Al (0.0205, 0.0205, 0.0205)
Al (0.4795, 0.4795, 0.4795)

Output
Its energy relative to the elements is 0.5527 eV/atom. As for the volume: 22.1 Å³ per atom. For the electronic total energy, the calculation gives -2.73 eV/atom.


A geometry-optimized BaBe4Al structure, computed with GGA-PBE.

Unit cell a=5.0757 b=5.0757 c=5.0757 alpha=60.00 beta=60.00 gamma=60.00
Atoms (fractional coordinates):
Ba (0.0000, 0.0000, 0.0000)
Be (0.8572, 0.3809, 0.3809)
Be (0.3809, 0.3809, 0.8572)
Be (0.3809, 0.8572, 0.3809)
Be (0.3809, 0.3809, 0.3809)
Al (0.7500, 0.7500, 0.7500)

Output
Its energy relative to the elements is 0.6348 eV/atom. As for the volume: 15.4 Å³ per atom. For the electronic total energy, the calculation gives -2.79 eV/atom.


A geometry-optimized BaBeAl2 structure, computed with GGA-PBE.

Unit cell a=5.2068 b=5.2068 c=8.9209 alpha=73.03 beta=73.03 gamma=90.00
Atoms (fractional coordinates):
Be (0.5000, 0.5000, 0.0000)
Be (0.2500, 0.7500, 0.5000)
Ba (0.0000, 0.0000, 0.0000)
Ba (0.7500, 0.2500, 0.5000)
Al (0.3752, 0.1250, 0.2500)
Al (0.3748, 0.6250, 0.2500)
Al (0.3750, 0.6248, 0.7500)
Al (0.8750, 0.6252, 0.7500)

Output
Its energy relative to the elements is 0.1529 eV/atom. As for the volume: 27.5 Å³ per atom. For the electronic total energy, the calculation gives -3.13 eV/atom.